1.
VASP calculation (PBE-GGA) on an optimized crystal structure of Tb6Ti4Al43.

* energy of formation from the pure elements: -18.2 eV per formula unit
* calculated volume: 1898.1 Å³/cell

a b c (Å): 11.0940 11.0940 17.8076
angles (deg): 90.00 90.00 120.00
Last column: nearest neighbours and their distance in Å.
Positions (direct):
Ti  0.0000  0.2720  0.7500  10 Al 2.62-2.72
Ti  0.2720  0.2720  0.2500  10 Al 2.62-2.72
Ti  0.0000  0.0000  0.5000  12 Al 2.70-2.85
Ti  0.0000  0.0000  0.0000  12 Al 2.70-2.85
Ti  0.7280  0.7280  0.7500  10 Al 2.62-2.72
Ti  0.2720  0.0000  0.7500  10 Al 2.62-2.72
Ti  0.0000  0.7280  0.2500  10 Al 2.62-2.72
Ti  0.7280  0.0000  0.2500  10 Al 2.62-2.72
Al  0.7474  0.7474  0.4714  9 Al 2.76-2.98, 1 Ti 2.85
Al  0.6064  0.8402  0.8365  1 Ti 2.72, 6 Al 2.74-2.93
Al  0.0000  0.8531  0.7500  2 Ti 2.62, 10 Al 2.82-2.92
Al  0.2337  0.8402  0.1635  1 Ti 2.72, 6 Al 2.74-2.93
Al  0.1469  0.0000  0.2500  2 Ti 2.62, 10 Al 2.82-2.92
Al  0.6064  0.8402  0.6635  1 Ti 2.72, 6 Al 2.74-2.93
Al  0.8514  0.4046  0.7500  1 Ti 2.70, 7 Al 2.77-2.86
Al  0.1558  0.0000  0.6163  2 Ti 2.70-2.71, 9 Al 2.75-2.99
Al  0.0000  0.1558  0.6163  2 Ti 2.70-2.71, 9 Al 2.75-2.99
Al  0.7663  0.1598  0.8365  1 Ti 2.72, 6 Al 2.74-2.93
Al  0.0000  0.1558  0.8837  2 Ti 2.70-2.71, 9 Al 2.75-2.99
Al  0.0000  0.7474  0.5286  9 Al 2.76-2.98, 1 Ti 2.85
Al  0.8442  0.0000  0.1163  2 Ti 2.70-2.71, 9 Al 2.75-2.99
Al  0.1558  0.1558  0.3837  2 Ti 2.70-2.71, 9 Al 2.75-2.99
Al  0.6667  0.3333  0.8743  9 Al 2.74-2.85
Al  0.0000  0.8442  0.3837  2 Ti 2.70-2.71, 9 Al 2.75-2.99
Al  0.4046  0.5532  0.2500  1 Ti 2.70, 7 Al 2.77-2.86
Al  0.2526  0.2526  0.9714  9 Al 2.76-2.98, 1 Ti 2.85
Al  0.6064  0.7663  0.1635  1 Ti 2.72, 6 Al 2.74-2.93
Al  0.8402  0.6064  0.8365  1 Ti 2.72, 6 Al 2.74-2.93
Al  0.3936  0.2337  0.6635  1 Ti 2.72, 6 Al 2.74-2.93
Al  0.8531  0.8531  0.2500  2 Ti 2.62, 10 Al 2.82-2.92
Al  0.4939  0.2469  0.0000  6 Al 2.76-2.88
Al  0.3936  0.1598  0.3365  1 Ti 2.72, 6 Al 2.74-2.93
Al  0.1558  0.0000  0.8837  2 Ti 2.70-2.71, 9 Al 2.75-2.99
Al  0.8402  0.2337  0.1635  1 Ti 2.72, 6 Al 2.74-2.93
Al  0.7663  0.1598  0.6635  1 Ti 2.72, 6 Al 2.74-2.93
Al  0.2526  0.0000  0.0286  9 Al 2.76-2.98, 1 Ti 2.85
Al  0.0000  0.8442  0.1163  2 Ti 2.70-2.71, 9 Al 2.75-2.99
Al  0.1598  0.3936  0.1635  1 Ti 2.72, 6 Al 2.74-2.93
Al  0.8442  0.8442  0.6163  2 Ti 2.70-2.71, 9 Al 2.75-2.99
Al  0.5061  0.7531  0.5000  6 Al 2.76-2.88
Al  0.3936  0.2337  0.8365  1 Ti 2.72, 6 Al 2.74-2.93
Al  0.6667  0.3333  0.1257  9 Al 2.74-2.85
Al  0.6064  0.7663  0.3365  1 Ti 2.72, 6 Al 2.74-2.93
Al  0.3333  0.6667  0.6257  9 Al 2.74-2.85
Al  0.8514  0.4468  0.2500  1 Ti 2.70, 7 Al 2.77-2.86
Al  0.4939  0.2469  0.5000  6 Al 2.76-2.88
Al  0.0000  0.2526  0.0286  9 Al 2.76-2.98, 1 Ti 2.85
Al  0.4046  0.8514  0.7500  1 Ti 2.70, 7 Al 2.77-2.86
Al  0.8442  0.8442  0.8837  2 Ti 2.70-2.71, 9 Al 2.75-2.99
Al  0.1598  0.3936  0.3365  1 Ti 2.72, 6 Al 2.74-2.93
Al  0.0000  0.1469  0.2500  2 Ti 2.62, 10 Al 2.82-2.92
Al  0.5954  0.1486  0.2500  1 Ti 2.70, 7 Al 2.77-2.86
Al  0.3936  0.1598  0.1635  1 Ti 2.72, 6 Al 2.74-2.93
Al  0.2337  0.3936  0.6635  1 Ti 2.72, 6 Al 2.74-2.93
Al  0.2526  0.0000  0.4714  9 Al 2.76-2.98, 1 Ti 2.85
Al  0.7663  0.6064  0.1635  1 Ti 2.72, 6 Al 2.74-2.93
Al  0.7531  0.2469  0.0000  6 Al 2.76-2.88
Al  0.3333  0.6667  0.3743  9 Al 2.74-2.85
Al  0.8531  0.0000  0.7500  2 Ti 2.62, 10 Al 2.82-2.92
Al  0.1598  0.7663  0.6635  1 Ti 2.72, 6 Al 2.74-2.93
Al  0.7531  0.5061  0.0000  6 Al 2.76-2.88
Al  0.7474  0.0000  0.9714  9 Al 2.76-2.98, 1 Ti 2.85
Al  0.4468  0.8514  0.2500  1 Ti 2.70, 7 Al 2.77-2.86
Al  0.2337  0.3936  0.8365  1 Ti 2.72, 6 Al 2.74-2.93
Al  0.7531  0.2469  0.5000  6 Al 2.76-2.88
Al  0.1598  0.7663  0.8365  1 Ti 2.72, 6 Al 2.74-2.93
Al  0.5954  0.4468  0.7500  1 Ti 2.70, 7 Al 2.77-2.86
Al  0.7663  0.6064  0.3365  1 Ti 2.72, 6 Al 2.74-2.93
Al  0.1469  0.1469  0.7500  2 Ti 2.62, 10 Al 2.82-2.92
Al  0.2469  0.7531  0.5000  6 Al 2.76-2.88
Al  0.6667  0.3333  0.6257  9 Al 2.74-2.85
Al  0.8402  0.6064  0.6635  1 Ti 2.72, 6 Al 2.74-2.93
Al  0.3333  0.6667  0.8743  9 Al 2.74-2.85
Al  0.0000  0.7474  0.9714  9 Al 2.76-2.98, 1 Ti 2.85
Al  0.5532  0.4046  0.2500  1 Ti 2.70, 7 Al 2.77-2.86
Al  0.8442  0.0000  0.3837  2 Ti 2.70-2.71, 9 Al 2.75-2.99
Al  0.5061  0.7531  0.0000  6 Al 2.76-2.88
Al  0.0000  0.2526  0.4714  9 Al 2.76-2.98, 1 Ti 2.85
Al  0.7474  0.0000  0.5286  9 Al 2.76-2.98, 1 Ti 2.85
Al  0.2469  0.4939  0.0000  6 Al 2.76-2.88
Al  0.1486  0.5532  0.7500  1 Ti 2.70, 7 Al 2.77-2.86
Al  0.2469  0.7531  0.0000  6 Al 2.76-2.88
Al  0.8402  0.2337  0.3365  1 Ti 2.72, 6 Al 2.74-2.93
Al  0.4468  0.5954  0.7500  1 Ti 2.70, 7 Al 2.77-2.86
Al  0.7474  0.7474  0.0286  9 Al 2.76-2.98, 1 Ti 2.85
Al  0.7531  0.5061  0.5000  6 Al 2.76-2.88
Al  0.3333  0.6667  0.1257  9 Al 2.74-2.85
Al  0.5532  0.1486  0.7500  1 Ti 2.70, 7 Al 2.77-2.86
Al  0.1486  0.5954  0.2500  1 Ti 2.70, 7 Al 2.77-2.86
Al  0.6667  0.3333  0.3743  9 Al 2.74-2.85
Al  0.2337  0.8402  0.3365  1 Ti 2.72, 6 Al 2.74-2.93
Al  0.1558  0.1558  0.1163  2 Ti 2.70-2.71, 9 Al 2.75-2.99
Al  0.2469  0.4939  0.5000  6 Al 2.76-2.88
Al  0.2526  0.2526  0.5286  9 Al 2.76-2.98, 1 Ti 2.85
Tb  0.5283  0.0000  0.0962  14 Al 3.08-3.41
Tb  0.5283  0.5283  0.5962  14 Al 3.08-3.41
Tb  0.0000  0.4717  0.9038  14 Al 3.08-3.41
Tb  0.0000  0.4717  0.5962  14 Al 3.08-3.41
Tb  0.0000  0.5283  0.4038  14 Al 3.08-3.41
Tb  0.4717  0.4717  0.0962  14 Al 3.08-3.41
Tb  0.4717  0.0000  0.5962  14 Al 3.08-3.41
Tb  0.5283  0.0000  0.4038  14 Al 3.08-3.41
Tb  0.0000  0.5283  0.0962  14 Al 3.08-3.41
Tb  0.5283  0.5283  0.9038  14 Al 3.08-3.41
Tb  0.4717  0.4717  0.4038  14 Al 3.08-3.41
Tb  0.4717  0.0000  0.9038  14 Al 3.08-3.41

=====

2.
VASP calculation (PBE-GGA) on an optimized crystal structure of TbTmTiAl.

* energy of formation from the pure elements: -0.2 eV per formula unit
* calculated volume: 94.8 Å³/cell

a b c (Å): 5.1186 5.1186 5.1186
angles (deg): 60.00 60.00 60.00
Last column: nearest neighbours and their distance in Å.
Positions (direct):
Tm  0.2500  0.2500  0.2500  4 Ti 3.13, 4 Al 3.13
Tb  0.7500  0.7500  0.7500  4 Al 3.13, 4 Ti 3.13
Ti  0.5000  0.5000  0.5000  4 Tb 3.13, 4 Tm 3.13
Al  0.0000  0.0000  0.0000  4 Tm 3.13, 4 Tb 3.13

=====

3.
VASP calculation (PBE-GGA) on an optimized crystal structure of TbYTiAl.

* energy of formation from the pure elements: -0.2 eV per formula unit
* calculated volume: 97.0 Å³/cell

a b c (Å): 5.1573 5.1573 5.1573
angles (deg): 60.00 60.00 60.00
Last column: nearest neighbours and their distance in Å.
Positions (direct):
Y  0.5000  0.5000  0.5000  4 Al 3.16, 4 Ti 3.16
Ti  0.7500  0.7500  0.7500  4 Tb 3.16, 4 Y 3.16
Al  0.2500  0.2500  0.2500  4 Tb 3.16, 4 Y 3.16
Tb  0.0000  0.0000  0.0000  4 Al 3.16, 4 Ti 3.16

=====

4.
VASP calculation (PBE-GGA) on an optimized crystal structure of Tb12Al2Tl5.

* energy of formation from the pure elements: -2.5 eV per formula unit
* calculated volume: 562.9 Å³/cell

a b c (Å): 7.1739 9.3565 9.1499
angles (deg): 83.42 90.00 112.54
Last column: nearest neighbours and their distance in Å.
Positions (direct):
Tl  0.7730  0.5459  0.2476  9 Tb 3.28-3.46, 2 Tl 3.62
Tl  0.0000  0.0000  0.5000  6 Tb 2.99-3.18
Tl  0.3006  0.6011  0.2368  6 Tb 3.26-3.53, 2 Tl 3.62
Tl  0.2270  0.4541  0.7524  9 Tb 3.28-3.46, 2 Tl 3.62
Tl  0.6994  0.3989  0.7632  6 Tb 3.26-3.53, 2 Tl 3.62
Tb  0.0348  0.0697  0.8120  2 Al 2.93, 1 Tl 2.99
Tb  0.0862  0.6832  0.9320  1 Al 2.94, 1 Tb 3.26, 1 Tl 3.28
Tb  0.4946  0.9891  0.6948  2 Al 3.07
Tb  0.4042  0.3038  0.4891  4 Tl 3.18-3.40, 2 Tb 3.42-3.55
Tb  0.4030  0.3168  0.0680  1 Al 2.94, 1 Tb 3.26, 1 Tl 3.28
Tb  0.9652  0.9303  0.1880  2 Al 2.93, 1 Tl 2.99
Tb  0.8996  0.3038  0.4891  4 Tl 3.18-3.40, 2 Tb 3.42-3.55
Tb  0.1004  0.6962  0.5109  4 Tl 3.18-3.40, 2 Tb 3.42-3.55
Tb  0.5958  0.6962  0.5109  4 Tl 3.18-3.40, 2 Tb 3.42-3.55
Tb  0.5970  0.6832  0.9320  1 Al 2.94, 1 Tb 3.26, 1 Tl 3.28
Tb  0.9138  0.3168  0.0680  1 Al 2.94, 1 Tb 3.26, 1 Tl 3.28
Tb  0.5054  0.0109  0.3052  2 Al 3.07
Al  0.6730  0.0000  0.0000  1 Al 2.48
Al  0.3270  0.0000  0.0000  1 Al 2.48

=====

5.
VASP calculation (PBE-GGA) on an optimized crystal structure of Tb6Al2Tl.

* energy of formation from the pure elements: -2.4 eV per formula unit
* polymorph energy (0 for the lowest one): 0 meV/atom
* calculated volume: 514.9 Å³/cell

a b c (Å): 8.7601 8.7601 8.7601
angles (deg): 104.83 112.32 111.36
Last column: nearest neighbours and their distance in Å.
Positions (direct):
Tb  0.2911  0.6125  0.3214  3 Al 2.97-3.13
Tb  0.7967  0.7566  0.5532  2 Al 3.01-3.23, 1 Tl 3.27
Tb  0.4595  0.2753  0.1842  3 Al 3.14-3.21, 1 Tl 3.26
Tb  0.2033  0.2434  0.4468  2 Al 3.01-3.23, 1 Tl 3.27
Tb  0.9089  0.7247  0.1842  3 Al 3.14-3.21, 1 Tl 3.26
Tb  0.2911  0.9697  0.6786  3 Al 2.97-3.13
Tb  0.5405  0.7247  0.8158  3 Al 3.14-3.21, 1 Tl 3.26
Tb  0.7967  0.2434  0.0401  2 Al 3.01-3.23, 1 Tl 3.27
Tb  0.7089  0.3875  0.6786  3 Al 2.97-3.13
Tb  0.2033  0.7566  0.9599  2 Al 3.01-3.23, 1 Tl 3.27
Tb  0.7089  0.0303  0.3214  3 Al 2.97-3.13
Tb  0.0911  0.2753  0.8158  3 Al 3.14-3.21, 1 Tl 3.26
Tl  0.0000  0.5000  0.5000  8 Tb 3.38-3.45
Tl  0.0000  0.0000  0.0000  8 Tb 3.26-3.27, 2 Al 3.51
Al  0.5000  0.6215  0.1215  1 Al 2.60
Al  0.5000  0.3785  0.8785  1 Al 2.60
Al  0.3594  0.0000  0.3594  1 Al 2.74, 2 Tb 3.01
Al  0.6406  0.0000  0.6406  1 Al 2.74, 2 Tb 3.01

=====

6.
VASP calculation (PBE-GGA) on an optimized crystal structure of Tb6AlTl2.

* energy of formation from the pure elements: -2.1 eV per formula unit
* calculated volume: 263.6 Å³/cell

a b c (Å): 4.3958 8.3218 8.3217
angles (deg): 120.00 90.00 90.00
Last column: nearest neighbours and their distance in Å.
Positions (direct):
Tl  0.0000  0.3333  0.6667  9 Tb 3.14-3.36
Tl  0.0000  0.6667  0.3333  9 Tb 3.14-3.36
Tb  0.0000  0.7437  0.7437  2 Al 3.06, 2 Tl 3.14
Tb  0.5000  0.5998  0.0000  1 Al 3.33, 4 Tl 3.36, 6 Tb 3.61-3.66
Tb  0.5000  0.0000  0.5998  1 Al 3.33, 4 Tl 3.36, 6 Tb 3.61-3.66
Tb  0.5000  0.4002  0.4002  1 Al 3.33, 4 Tl 3.36, 6 Tb 3.61-3.66
Tb  0.0000  0.0000  0.2563  2 Al 3.06, 2 Tl 3.14
Tb  0.0000  0.2563  0.0000  2 Al 3.06, 2 Tl 3.14
Al  0.5000  0.0000  0.0000  9 Tb 3.06-3.33